Record 1
Entry from Alexandria: crystalline Rb2NaF3 at its relaxed geometry (PBE).

Raw formation energy   -2.6546 eV/atom
Crystal system   orthorhombic

a = 8.473 Å, b = 3.869 Å, c = 14.584 Å
α = 90.00°, β = 90.00°, γ = 90.00°
Space group Pnma (No. 62)
Symmetry-distinct sites (fractional):
Rb (0.128, 0.250, 0.223) (multiplicity 4)
Rb (0.180, 0.250, 0.937) (multiplicity 4)
Na (0.082, 0.250, 0.588) (multiplicity 4)
F (0.066, 0.250, 0.420) (multiplicity 4)
F (0.121, 0.250, 0.748) (multiplicity 4)
F (0.150, 0.750, 0.073) (multiplicity 4)

=====

Record 2
Entry from Alexandria: crystalline Pm2Cd2Ag at its relaxed geometry (PBE).

Energy of formation   -0.25 eV/atom
Crystal system   monoclinic

a = 11.045 Å, b = 4.920 Å, c = 10.310 Å
α = 90.00°, β = 109.93°, γ = 90.00°
Space group C2/m (No. 12)
Symmetry-distinct sites (fractional):
Pm (0.033, 0.000, 0.348) (multiplicity 4)
Pm (0.175, 0.000, 0.095) (multiplicity 4)
Cd (0.026, 0.500, 0.871) (multiplicity 4)
Cd (0.139, 0.500, 0.582) (multiplicity 4)
Ag (0.231, 0.500, 0.327) (multiplicity 4)

=====

Record 3
Entry from Alexandria: crystalline Pm6InSi2Br3 at its relaxed geometry (PBE).

Raw formation energy   -0.9551 eV/atom
Crystal system   monoclinic

a = 19.154 Å, b = 4.227 Å, c = 8.919 Å
α = 90.00°, β = 103.66°, γ = 90.00°
Space group C2/m (No. 12)
Symmetry-distinct sites (fractional):
Pm (0.013, 0.000, 0.257) (multiplicity 4)
Pm (0.166, 0.500, 0.120) (multiplicity 4)
Pm (0.177, 0.500, 0.567) (multiplicity 4)
In (0.000, 0.500, 0.000) (multiplicity 2)
Si (0.168, 0.000, 0.341) (multiplicity 4)
Br (0.000, 0.500, 0.500) (multiplicity 2)
Br (0.168, 0.000, 0.836) (multiplicity 4)

=====

Record 4
Entry from Alexandria: crystalline Ac3Sm2Tl4 at its relaxed geometry (PBE).

Energy of formation   -0.28 eV/atom
Crystal system   monoclinic

a = 13.150 Å, b = 5.132 Å, c = 10.598 Å
α = 90.00°, β = 119.37°, γ = 90.00°
Space group C2/m (No. 12)
Symmetry-distinct sites (fractional):
Ac (0.000, 0.000, 0.000) (multiplicity 2)
Ac (0.141, 0.500, 0.691) (multiplicity 4)
Sm (0.148, 0.500, 0.316) (multiplicity 4)
Tl (0.073, 0.000, 0.411) (multiplicity 4)
Tl (0.192, 0.500, 0.039) (multiplicity 4)

=====

Record 5
Entry from Alexandria: crystalline GdZn2Cu at its relaxed geometry (PBE).

Energy of formation   -0.22 eV/atom
Crystal system   trigonal

a = 4.2368 Å, b = 4.2368 Å, c = 14.7109 Å
α = 90.00°, β = 90.00°, γ = 120.00°
Space group R-3m (No. 166, hexagonal axes)
Symmetry-distinct sites (fractional):
Gd (0.0000, 0.0000, 0.0000) (multiplicity 3)
Zn (0.0000, 0.0000, 0.2089) (multiplicity 6)
Cu (0.0000, 0.0000, 0.5000) (multiplicity 3)

=====

Record 6
Entry from Alexandria: crystalline Li3NiSb at its relaxed geometry (PBE).

Raw formation energy   0.4115 eV/atom
Crystal system   cubic

a = 5.067 Å, b = 5.067 Å, c = 5.067 Å
α = 90.00°, β = 90.00°, γ = 90.00°
Space group Pm-3m (No. 221)
Symmetry-distinct sites (fractional):
Li (0.000, 0.000, 0.500) (multiplicity 3)
Ni (0.500, 0.500, 0.500) (multiplicity 1)
Sb (0.000, 0.000, 0.000) (multiplicity 1)

=====

Record 7
Entry from Alexandria: crystalline Sr2MnPb at its relaxed geometry (PBE).

Energy of formation   0.04 eV/atom
Crystal system   orthorhombic

a = 4.178 Å, b = 5.462 Å, c = 11.590 Å
α = 90.00°, β = 90.00°, γ = 90.00°
Space group Imm2 (No. 44)
Symmetry-distinct sites (fractional):
Sr (0.000, 0.000, 0.000) (multiplicity 2)
Sr (0.000, 0.500, 0.212) (multiplicity 2)
Mn (0.000, 0.500, 0.777) (multiplicity 2)
Pb (0.000, 0.000, 0.443) (multiplicity 2)

=====

Record 8
Entry from Alexandria: crystalline Tb4Zn2Sn at its relaxed geometry (PBE).

Energy of formation   -0.28 eV/atom
Crystal system   trigonal

a = 5.0689 Å, b = 5.0689 Å, c = 24.9406 Å
α = 90.00°, β = 90.00°, γ = 120.00°
Space group R-3m (No. 166, hexagonal axes)
Symmetry-distinct sites (fractional):
Tb (0.0000, 0.0000, 0.1156) (multiplicity 6)
Tb (0.0000, 0.0000, 0.3687) (multiplicity 6)
Zn (0.0000, 0.0000, 0.2505) (multiplicity 6)
Sn (0.0000, 0.0000, 0.5000) (multiplicity 3)

=====

Record 9
Entry from Alexandria: crystalline CrTc3Ge at its relaxed geometry (PBE).

Energy of formation   1.23 eV/atom
Crystal system   cubic

a = 4.442 Å, b = 4.442 Å, c = 4.442 Å
α = 90.00°, β = 90.00°, γ = 90.00°
Space group Pm-3m (No. 221)
Symmetry-distinct sites (fractional):
Cr (0.000, 0.000, 0.000) (multiplicity 1)
Tc (0.000, 0.000, 0.500) (multiplicity 3)
Ge (0.500, 0.500, 0.500) (multiplicity 1)

=====

Record 10
Entry from Alexandria: crystalline SiPb2Br at its relaxed geometry (PBE).

Raw formation energy   0.2486 eV/atom
Crystal system   tetragonal

a = 4.291 Å, b = 4.291 Å, c = 12.547 Å
α = 90.00°, β = 90.00°, γ = 90.00°
Space group I-4m2 (No. 119)
Symmetry-distinct sites (fractional):
Si (0.000, 0.000, 0.000) (multiplicity 2)
Pb (0.000, 0.000, 0.500) (multiplicity 2)
Pb (0.000, 0.500, 0.250) (multiplicity 2)
Br (0.000, 0.500, 0.750) (multiplicity 2)

=====

Record 11
Entry from Alexandria: crystalline SmMg5Ag6 at its relaxed geometry (PBE).

Energy of formation   -0.22 eV/atom
Crystal system   monoclinic

a = 4.824 Å, b = 6.915 Å, c = 7.575 Å
α = 90.00°, β = 108.41°, γ = 90.00°
Space group P2/m (No. 10)
Symmetry-distinct sites (fractional):
Sm (0.000, 0.000, 0.000) (multiplicity 1)
Mg (0.000, 0.500, 0.000) (multiplicity 1)
Mg (0.329, 0.000, 0.659) (multiplicity 2)
Mg (0.336, 0.500, 0.677) (multiplicity 2)
Ag (0.177, 0.267, 0.348) (multiplicity 4)
Ag (0.500, 0.269, 0.000) (multiplicity 2)

=====

Record 12
Entry from Alexandria: crystalline MnSi3Cl at its relaxed geometry (PBE).

Raw formation energy   1.6907 eV/atom
Crystal system   cubic

a = 4.562 Å, b = 4.562 Å, c = 4.562 Å
α = 90.00°, β = 90.00°, γ = 90.00°
Space group Pm-3m (No. 221)
Symmetry-distinct sites (fractional):
Mn (0.000, 0.000, 0.000) (multiplicity 1)
Si (0.000, 0.500, 0.500) (multiplicity 3)
Cl (0.500, 0.500, 0.500) (multiplicity 1)

=====

Record 13
Entry from Alexandria: crystalline TcMoAs at its relaxed geometry (PBE).

Energy of formation   0.33 eV/atom
Crystal system   orthorhombic

a = 3.098 Å, b = 4.804 Å, c = 12.686 Å
α = 90.00°, β = 90.00°, γ = 90.00°
Space group Fmm2 (No. 42)
Symmetry-distinct sites (fractional):
Tc (0.000, 0.000, 0.000) (multiplicity 4)
Mo (0.000, 0.000, 0.333) (multiplicity 4)
As (0.000, 0.000, 0.663) (multiplicity 4)

=====

Record 14
Entry from Alexandria: crystalline LaCuP2 at its relaxed geometry (PBE).

Energy of formation   -0.32 eV/atom
Crystal system   tetragonal

a = 3.489 Å, b = 3.489 Å, c = 6.057 Å
α = 90.00°, β = 90.00°, γ = 90.00°
Space group P4/mmm (No. 123)
Symmetry-distinct sites (fractional):
La (0.000, 0.000, 0.000) (multiplicity 1)
Cu (0.000, 0.000, 0.500) (multiplicity 1)
P (0.500, 0.500, 0.319) (multiplicity 2)

=====

Record 15
Entry from Alexandria: crystalline HoTm5Sc2In at its relaxed geometry (PBE).

Energy of formation   0.03 eV/atom
Crystal system   orthorhombic

a = 5.216 Å, b = 19.343 Å, c = 10.349 Å
α = 90.00°, β = 90.00°, γ = 90.00°
Space group Cmcm (No. 63)
Symmetry-distinct sites (fractional):
Ho (0.000, 0.202, 0.250) (multiplicity 4)
Tm (0.000, 0.008, 0.250) (multiplicity 4)
Tm (0.000, 0.291, 0.547) (multiplicity 8)
Tm (0.000, 0.379, 0.250) (multiplicity 4)
Tm (0.000, 0.500, 0.000) (multiplicity 4)
Sc (0.000, 0.116, 0.538) (multiplicity 8)
In (0.000, 0.407, 0.750) (multiplicity 4)

=====

Record 16
Entry from Alexandria: crystalline AlSbCl at its relaxed geometry (PBE).

Raw formation energy   0.0068 eV/atom
Crystal system   cubic

a = 6.737 Å, b = 6.737 Å, c = 6.737 Å
α = 90.00°, β = 90.00°, γ = 90.00°
Space group F-43m (No. 216)
Symmetry-distinct sites (fractional):
Al (0.000, 0.000, 0.000) (multiplicity 4)
Sb (0.250, 0.250, 0.750) (multiplicity 4)
Cl (0.250, 0.250, 0.250) (multiplicity 4)

=====

Record 17
Entry from Alexandria: crystalline Ba3TeI at its relaxed geometry (PBE).

Raw formation energy   -0.7675 eV/atom
Crystal system   cubic

a = 6.642 Å, b = 6.642 Å, c = 6.642 Å
α = 90.00°, β = 90.00°, γ = 90.00°
Space group Pm-3m (No. 221)
Symmetry-distinct sites (fractional):
Ba (0.000, 0.000, 0.500) (multiplicity 3)
Te (0.000, 0.000, 0.000) (multiplicity 1)
I (0.500, 0.500, 0.500) (multiplicity 1)

=====

Record 18
Entry from Alexandria: crystalline AgOs2Pt at its relaxed geometry (PBE).

Energy of formation   0.42 eV/atom
Crystal system   trigonal

a = 2.7517 Å, b = 2.7517 Å, c = 27.9854 Å
α = 90.00°, β = 90.00°, γ = 120.00°
Space group R-3m (No. 166, hexagonal axes)
Symmetry-distinct sites (fractional):
Ag (0.0000, 0.0000, 0.0000) (multiplicity 3)
Os (0.0000, 0.0000, 0.2469) (multiplicity 6)
Pt (0.0000, 0.0000, 0.5000) (multiplicity 3)

=====

Record 19
Entry from Alexandria: crystalline K2ZrSi at its relaxed geometry (PBE).

Raw formation energy   0.7888 eV/atom
Crystal system   trigonal

a = 3.2006 Å, b = 3.2006 Å, c = 38.0969 Å
α = 90.00°, β = 90.00°, γ = 120.00°
Space group R-3m (No. 166, hexagonal axes)
Symmetry-distinct sites (fractional):
K (0.0000, 0.0000, 0.2402) (multiplicity 6)
Zr (0.0000, 0.0000, 0.0000) (multiplicity 3)
Si (0.0000, 0.0000, 0.5000) (multiplicity 3)

=====

Record 20
Entry from Alexandria: crystalline Li2SbSe3 at its relaxed geometry (PBE).

Raw formation energy   -0.6975 eV/atom
Crystal system   monoclinic

a = 12.612 Å, b = 5.565 Å, c = 7.788 Å
α = 90.00°, β = 107.95°, γ = 90.00°
Space group C2/c (No. 15)
Symmetry-distinct sites (fractional):
Li (0.151, 0.000, 0.075) (multiplicity 8)
Sb (0.000, 0.498, 0.250) (multiplicity 4)
Se (0.000, 0.000, 0.250) (multiplicity 4)
Se (0.166, 0.500, 0.083) (multiplicity 8)

=====

no.,total energy (eV per atom),spin magnetization (μB/atom),DOS(E_F) (states/eV per cell)
1,-4.133,0.030,0.00
2,-3.091,0.000,16.39
3,-4.881,0.000,12.40
4,-3.755,0.000,14.98
5,-5.405,1.907,9.27
6,-2.718,0.215,13.17
7,-4.017,0.957,5.73
8,-3.861,0.000,25.79
9,-7.839,0.341,5.57
10,-3.380,0.000,3.45
11,-2.705,0.000,4.17
12,-3.766,0.155,8.96
13,-8.282,0.000,14.53
14,-5.278,0.000,2.64
15,-4.679,0.000,55.44
16,-3.230,0.000,16.59
17,-2.860,0.234,8.50
18,-7.418,0.000,8.36
19,-3.253,0.049,13.03
20,-3.765,0.000,6.65